Crystalline NaZr2S at its relaxed geometry, computed with PBE.

Results
The formation energy from raw total energies is 10.1 kJ/mol of atoms. The value obtained for the calculated volume is 21.6 Å³/atom. The value obtained for the total magnetization is 0.00 Bohr magnetons per cell. The density of states at the Fermi level comes out at 7.08 states/eV/cell. As for the density: 4.56 Mg/m³.

a b c (Å): 4.0980 4.0980 10.6929
angles (deg): 78.95 78.95 90.00
Element x y z (fractional)
Zr1 0.0988 0.6250 0.2500
Zr2 0.3750 0.3488 0.7500
Zr3 0.6512 0.1250 0.2500
Zr4 0.8750 0.9012 0.7500
Na1 0.5000 0.5000 0.0000
Na2 0.2500 0.7500 0.5000
S1 0.7500 0.2500 0.5000
S2 0.0000 0.0000 0.0000